1.
VASP calculation (PBE-GGA) on a relaxed NbSiSn crystal.

a = 4.435 Å, b = 4.435 Å, c = 4.435 Å
α = 60.00°, β = 60.00°, γ = 60.00°
Fractional positions:
Nb (0.250, 0.250, 0.250)
Si (0.000, 0.000, 0.000)
Sn (0.750, 0.750, 0.750)

Output
The calculation puts the total energy at -18.23 eV for the cell shown.


2.
VASP calculation (PBE-GGA) on a relaxed Ta2NbSi crystal.

a = 4.568 Å, b = 4.568 Å, c = 4.568 Å
α = 60.00°, β = 60.00°, γ = 60.00°
Fractional positions:
Ta (0.000, 0.000, 0.000)
Ta (0.750, 0.750, 0.750)
Nb (0.250, 0.250, 0.250)
Si (0.500, 0.500, 0.500)

Output
The calculation puts the total energy at -39.40 eV for the cell shown.